No. 1
The following is a GGA-PBE calculation of KMoPt2 after structural relaxation, from Alexandria via LeMat-Bulk.

Cell lengths 5.021, 5.021, 6.416 Å; angles 82.58, 82.58, 32.40 degrees
Atoms (fractional coordinates):
1 Mo 0.277 0.277 0.131
2 Pt 0.004 0.004 0.039
3 K 0.492 0.492 0.523
4 Pt 0.726 0.726 0.807

Values from the calculation:
Final energy   -22.8 eV for the cell shown
Energy of formation from the pure elements   0.31 eV per atom
M_tot   0.0 μB/f.u.
DOS(E_F)   3.11 states/eV/cell

No. 2
The following is a GGA-PBE calculation of KMoPt2 after structural relaxation, from Alexandria via LeMat-Bulk.

Cell lengths 6.197, 6.197, 6.197 Å; angles 154.33, 132.16, 55.07 degrees
Atoms (fractional coordinates):
1 K 0.500 0.500 0.000
2 Pt 0.992 0.992 0.000
3 Mo 0.788 0.288 0.500
4 Pt 0.220 0.720 0.500

Values from the calculation:
Final energy   -22.7 eV for the cell shown
Energy of formation from the pure elements   0.34 eV per atom
M_tot   0.0 μB/f.u.
DOS(E_F)   2.66 states/eV/cell

No. 3
The following is a GGA-PBE calculation of KMoPt2 after structural relaxation, from Alexandria via LeMat-Bulk.

Cell lengths 5.455, 5.455, 5.455 Å; angles 140.08, 118.42, 75.94 degrees
Last column: magnetic moment on the atom in μB.
Atoms (fractional coordinates):
1 K 0.250 0.750 0.500  0.01
2 Mo 0.750 0.250 0.500  0.75
3 Pt 0.946 0.946 0.000  0.03
4 Pt 0.554 0.554 0.000  0.03

Values from the calculation:
Final energy   -21.1 eV for the cell shown
Energy of formation from the pure elements   0.72 eV per atom
M_tot   1.0 μB/f.u.
DOS(E_F)   4.16 states/eV/cell

No. 4
The following is a GGA-PBE calculation of K2MoPt after structural relaxation, from Alexandria via LeMat-Bulk.

Cell lengths 4.251, 4.251, 9.837 Å; angles 77.27, 77.27, 60.03 degrees
Last column: magnetic moment on the atom in μB.
Atoms (fractional coordinates):
1 K 0.781 0.781 0.651  0.01
2 Mo 0.537 0.537 0.389  0.54
3 Pt 0.214 0.214 0.356  0.02
4 K 0.968 0.968 0.103  0.00

Values from the calculation:
Final energy   -17.2 eV for the cell shown
Energy of formation from the pure elements   0.48 eV per atom
M_tot   0.6 μB/f.u.
DOS(E_F)   2.21 states/eV/cell

No. 5
The following is a GGA-PBE calculation of K2MoPt after structural relaxation, from Alexandria via LeMat-Bulk.

Cell lengths 6.347, 6.347, 2.816 Å; angles 90.00, 90.00, 128.49 degrees
Atoms (fractional coordinates):
1 K 0.000 0.000 0.000
2 K 0.500 0.500 0.000
3 Pt 0.000 0.500 0.500
4 Mo 0.500 0.000 0.500

Values from the calculation:
Final energy   -15.2 eV for the cell shown
Energy of formation from the pure elements   0.98 eV per atom
M_tot   0.0 μB/f.u.
DOS(E_F)   4.50 states/eV/cell

No. 6
The following is a GGA-PBE calculation of KMo2Pt2 after structural relaxation, from Alexandria via LeMat-Bulk.

Cell lengths 4.839, 4.839, 5.642 Å; angles 64.60, 64.60, 90.00 degrees
Atoms (fractional coordinates):
1 Mo 0.368 0.368 0.263
2 Mo 0.632 0.632 0.737
3 Pt 0.250 0.750 0.500
4 K 0.000 0.000 0.000
5 Pt 0.750 0.250 0.500

Values from the calculation:
Final energy   -32.6 eV for the cell shown
Energy of formation from the pure elements   0.45 eV per atom
M_tot   0.0 μB/f.u.
DOS(E_F)   3.24 states/eV/cell

No. 7
The following is a GGA-PBE calculation of K2MoPt after structural relaxation, from Alexandria via LeMat-Bulk.

Cell lengths 11.777, 11.777, 11.777 Å; angles 14.24, 14.24, 14.24 degrees
Last column: magnetic moment on the atom in μB.
Atoms (fractional coordinates):
1 Pt 0.750 0.750 0.750  0.00
2 K 0.495 0.495 0.495  0.00
3 Mo 0.250 0.250 0.250  0.12
4 K 0.005 0.005 0.005  0.00

Values from the calculation:
Final energy   -15.5 eV for the cell shown
Energy of formation from the pure elements   0.89 eV per atom
M_tot   0.2 μB/f.u.
DOS(E_F)   2.12 states/eV/cell

No. 8
The following is a GGA-PBE calculation of KMoPt2 after structural relaxation, from Alexandria via LeMat-Bulk.

Cell lengths 10.247, 10.247, 10.247 Å; angles 16.11, 16.11, 16.11 degrees
Atoms (fractional coordinates):
1 Pt 0.010 0.010 0.010
2 Mo 0.750 0.750 0.750
3 Pt 0.490 0.490 0.490
4 K 0.250 0.250 0.250

Values from the calculation:
Final energy   -23.2 eV for the cell shown
Energy of formation from the pure elements   0.20 eV per atom
M_tot   0.0 μB/f.u.
DOS(E_F)   3.51 states/eV/cell

No. 9
The following is a GGA-PBE calculation of K2MoPt after structural relaxation, from Alexandria via LeMat-Bulk.

Cell lengths 5.496, 5.496, 5.496 Å; angles 60.00, 60.00, 60.00 degrees
Last column: magnetic moment on the atom in μB.
Atoms (fractional coordinates):
1 K 0.750 0.750 0.750  0.04
2 Pt 0.500 0.500 0.500  0.13
3 Mo 0.000 0.000 0.000  3.93
4 K 0.250 0.250 0.250  0.04

Values from the calculation:
Final energy   -13.8 eV for the cell shown
Energy of formation from the pure elements   1.32 eV per atom
M_tot   5.5 μB/f.u.
DOS(E_F)   2.22 states/eV/cell

No. 10
The following is a GGA-PBE calculation of KMoPt2 after structural relaxation, from Alexandria via LeMat-Bulk.

Cell lengths 4.738, 4.738, 4.738 Å; angles 60.00, 60.00, 60.00 degrees
Last column: magnetic moment on the atom in μB.
Atoms (fractional coordinates):
1 Pt 0.250 0.250 0.250  0.09
2 Mo 0.500 0.500 0.500  1.63
3 K 0.000 0.000 0.000  0.00
4 Pt 0.750 0.750 0.750  0.09

Values from the calculation:
Final energy   -21.2 eV for the cell shown
Energy of formation from the pure elements   0.71 eV per atom
M_tot   2.0 μB/f.u.
DOS(E_F)   3.97 states/eV/cell

No. 11
The following is a GGA-PBE calculation of KMoPt2 after structural relaxation, from Alexandria via LeMat-Bulk.

Cell lengths 3.967, 3.967, 8.241 Å; angles 87.23, 87.23, 40.99 degrees
Atoms (fractional coordinates):
1 Pt 0.996 0.996 0.062
2 Pt 0.504 0.504 0.438
3 Mo 0.250 0.250 0.250
4 K 0.750 0.750 0.750

Values from the calculation:
Final energy   -23.4 eV for the cell shown
Energy of formation from the pure elements   0.16 eV per atom
M_tot   0.0 μB/f.u.
DOS(E_F)   3.66 states/eV/cell

No. 12
The following is a GGA-PBE calculation of K2MoPt after structural relaxation, from Alexandria via LeMat-Bulk.

Cell lengths 6.399, 6.399, 6.399 Å; angles 144.21, 144.21, 51.51 degrees
Last column: magnetic moment on the atom in μB.
Atoms (fractional coordinates):
1 K 0.500 0.500 0.000  0.00
2 Mo 0.250 0.750 0.500  0.58
3 Pt 0.750 0.250 0.500  0.03
4 K 0.000 0.000 0.000  0.00

Values from the calculation:
Final energy   -15.2 eV for the cell shown
Energy of formation from the pure elements   0.97 eV per atom
M_tot   0.7 μB/f.u.
DOS(E_F)   3.62 states/eV/cell

No. 13
The following is a GGA-PBE calculation of K2MoPt after structural relaxation, from Alexandria via LeMat-Bulk.

Cell lengths 10.370, 10.370, 4.453 Å; angles 77.30, 77.30, 16.23 degrees
Last column: magnetic moment on the atom in μB.
Atoms (fractional coordinates):
1 K 0.895 0.895 0.101  0.01
2 K 0.605 0.605 0.399  0.01
3 Mo 0.750 0.750 0.750  1.09
4 Pt 0.250 0.250 0.250  0.04

Values from the calculation:
Final energy   -17.0 eV for the cell shown
Energy of formation from the pure elements   0.51 eV per atom
M_tot   1.6 μB/f.u.
DOS(E_F)   3.16 states/eV/cell

No. 14
The following is a GGA-PBE calculation of K2MoPt after structural relaxation, from Alexandria via LeMat-Bulk.

Cell lengths 5.875, 2.847, 5.116 Å; angles 86.52, 90.00, 90.00 degrees
Atoms (fractional coordinates):
1 K 0.000 0.519 0.507
2 Pt 0.500 0.750 0.750
3 Mo 0.500 0.250 0.250
4 K 0.000 0.981 0.993

Values from the calculation:
Final energy   -15.4 eV for the cell shown
Energy of formation from the pure elements   0.92 eV per atom
M_tot   0.0 μB/f.u.
DOS(E_F)   2.71 states/eV/cell